--- i ---
20
Lattice="-8.4625 3.4773 4.0355 -2.3807 -6.4271 0.5457 3.6878 -0.6610 8.3030" Properties=species:S:1:pos:R:3 comment="Th5MgTl4 | Alexandria via LeMat-Bulk | PBE | optimized geometry" space_group="Pmmn (59)" pbc="T T T"
Th -1.0800 -4.4012 8.3413
Th 0.1059 -1.1998 8.0695
Th -8.6417 -0.1517 3.8261
Th -3.4529 -3.9759 2.9986
Th -2.2671 -0.7745 2.7268
Th -6.7367 -2.5180 6.0069
Th -5.5419 0.7077 5.7330
Th 0.8328 0.0850 4.6337
Th -4.2271 0.4720 8.6933
Th -5.4219 -2.7537 8.9672
Mg -6.4338 2.6437 3.0680
Mg -1.3752 -2.7104 5.3918
Tl -5.3358 2.8988 10.8636
Tl -6.4379 -2.7048 2.6441
Tl -5.3786 0.1550 2.4012
Tl -7.7463 3.3309 5.4363
Tl -0.0627 -3.3977 3.0235
Tl -3.7517 -3.7890 6.3614
Tl -2.4304 -0.2217 6.0586
Tl 1.2146 -3.6266 5.8992


--- ii ---
10
Lattice="4.2030 0.0000 0.0000 0.0000 4.2030 0.0000 0.0000 0.0000 16.6403" Properties=species:S:1:pos:R:3 comment="Th5MgTl4 | Alexandria via LeMat-Bulk | PBE | optimized geometry" space_group="P4/mmm (123)" pbc="T T T"
Th 2.1015 2.1015 1.6958
Th 2.1015 2.1015 4.9747
Th 2.1015 2.1015 8.3201
Th 2.1015 2.1015 11.6656
Th 2.1015 2.1015 14.9445
Mg 0.0000 0.0000 0.0000
Tl 0.0000 0.0000 3.2673
Tl 0.0000 0.0000 6.6372
Tl 0.0000 0.0000 10.0031
Tl 0.0000 0.0000 13.3730


Last place for stability: i


--- i ---
6
Lattice="-0.5882 1.3755 4.2747 2.0379 -4.0510 1.5839 5.5171 5.2585 -0.9329" Properties=species:S:1:pos:R:3 comment="ThMg2Tl3 | Alexandria via LeMat-Bulk | PBE | optimized geometry" space_group="Cmmm (65)" pbc="T T T"
Th 0.0000 0.0000 0.0000
Mg 3.3202 -0.8872 0.7423
Mg 4.2348 2.0947 -0.0913
Tl 1.9420 1.7938 2.0891
Tl 0.7249 -1.3378 2.9293
Tl 5.0249 0.7892 2.8366


--- ii ---
6
Lattice="3.6354 0.0000 0.0000 0.0000 3.6354 0.0000 0.0000 0.0000 11.8055" Properties=species:S:1:pos:R:3 comment="ThMg2Tl3 | Alexandria via LeMat-Bulk | PBE | optimized geometry" space_group="P4/mmm (123)" pbc="T T T"
Th 1.8177 1.8177 5.9027
Mg 1.8177 1.8177 9.9620
Mg 1.8177 1.8177 1.8434
Tl 0.0000 0.0000 0.0000
Tl 0.0000 0.0000 8.1605
Tl 0.0000 0.0000 3.6450


Last place for stability: ii